[1]
# PBE-GGA BaCuRu2, relaxed
data_BaCuRu2
_space_group_name_H-M_alt 'P 1'
_space_group_IT_number 1
_cell_length_a 2.963
_cell_length_b 3.717
_cell_length_c 7.223
_cell_angle_alpha 90.00
_cell_angle_beta 90.00
_cell_angle_gamma 90.00
loop_
_space_group_symop_operation_xyz
'x,y,z'
loop_
_atom_site_label
_atom_site_type_symbol
_atom_site_fract_x
_atom_site_fract_y
_atom_site_fract_z
_atom_site_occupancy
Ru1 Ru 0.000 0.000 0.586 1
Ru2 Ru 0.000 0.000 0.914 1
Ba1 Ba 0.500 0.500 0.250 1
Cu1 Cu 0.500 0.500 0.750 1
# DOS(E_F) (states/eV/cell): 6.14
# Calculated density (g cm⁻³): 8.4
# Energy of formation from the pure elements (eV/atom): 0.78
# Space group: No. 47

---

[2]
# PBE-GGA CrSb2Au, relaxed
data_CrSb2Au
_space_group_name_H-M_alt 'P 1'
_space_group_IT_number 1
_cell_length_a 4.158
_cell_length_b 3.872
_cell_length_c 5.689
_cell_angle_alpha 69.31
_cell_angle_beta 90.00
_cell_angle_gamma 90.00
loop_
_space_group_symop_operation_xyz
'x,y,z'
loop_
_atom_site_label
_atom_site_type_symbol
_atom_site_fract_x
_atom_site_fract_y
_atom_site_fract_z
_atom_site_occupancy
Cr1 Cr 0.500 0.543 0.805 1
Sb1 Sb 0.500 0.264 0.339 1
Sb2 Sb 0.000 0.986 0.910 1
Au1 Au 0.000 0.707 0.447 1
# DOS(E_F) (states/eV/cell): 2.49
# Formation energy (no corrections) (eV/atom): 0.103
# Calculated density (g cm⁻³): 9.5
# Space group: No. 6

---

[3]
# PBE-GGA RbBaAsS4, relaxed
data_RbBaAsS4
_space_group_name_H-M_alt 'P 1'
_space_group_IT_number 1
_cell_length_a 7.081
_cell_length_b 6.924
_cell_length_c 9.544
_cell_angle_alpha 90.00
_cell_angle_beta 105.61
_cell_angle_gamma 90.00
loop_
_space_group_symop_operation_xyz
'x,y,z'
loop_
_atom_site_label
_atom_site_type_symbol
_atom_site_fract_x
_atom_site_fract_y
_atom_site_fract_z
_atom_site_occupancy
Rb1 Rb 0.733 0.750 0.942 1
Rb2 Rb 0.267 0.250 0.058 1
S1 S 0.406 0.750 0.168 1
S2 S 0.594 0.250 0.832 1
S3 S 0.994 0.998 0.742 1
S4 S 0.651 0.250 0.464 1
S5 S 0.349 0.750 0.536 1
S6 S 0.994 0.502 0.742 1
S7 S 0.006 0.498 0.258 1
S8 S 0.006 0.002 0.258 1
Ba1 Ba 0.768 0.750 0.456 1
Ba2 Ba 0.232 0.250 0.544 1
As1 As 0.200 0.750 0.301 1
As2 As 0.800 0.250 0.699 1
# DOS(E_F) (states/eV/cell): 0.00
# Formation energy (no corrections) (eV/atom): -1.042
# Calculated density (g cm⁻³): 3.1
# Space group: No. 11

---

[4]
# PBE-GGA MnOsCl2, relaxed
data_MnOsCl2
_space_group_name_H-M_alt 'P 1'
_space_group_IT_number 1
_cell_length_a 4.071
_cell_length_b 3.333
_cell_length_c 4.993
_cell_angle_alpha 90.11
_cell_angle_beta 90.00
_cell_angle_gamma 90.00
loop_
_space_group_symop_operation_xyz
'x,y,z'
loop_
_atom_site_label
_atom_site_type_symbol
_atom_site_fract_x
_atom_site_fract_y
_atom_site_fract_z
_atom_site_occupancy
Cl1 Cl 0.000 0.536 0.514 1
Cl2 Cl 0.000 0.964 0.986 1
Mn1 Mn 0.500 0.250 0.250 1
Os1 Os 0.500 0.750 0.750 1
# DOS(E_F) (states/eV/cell): 2.79
# Formation energy (no corrections) (eV/atom): 0.624
# Calculated density (g cm⁻³): 7.7
# Space group: No. 10

---

[5]
# PBE-GGA Ti4VSi2, relaxed
data_Ti4VSi2
_space_group_name_H-M_alt 'P 1'
_space_group_IT_number 1
_cell_length_a 4.339
_cell_length_b 4.339
_cell_length_c 7.702
_cell_angle_alpha 73.64
_cell_angle_beta 73.64
_cell_angle_gamma 60.00
loop_
_space_group_symop_operation_xyz
'x,y,z'
loop_
_atom_site_label
_atom_site_type_symbol
_atom_site_fract_x
_atom_site_fract_y
_atom_site_fract_z
_atom_site_occupancy
Ti1 Ti 0.724 0.724 0.827 1
Ti2 Ti 0.276 0.276 0.173 1
Ti3 Ti 0.876 0.876 0.371 1
Ti4 Ti 0.124 0.124 0.629 1
Si1 Si 0.391 0.391 0.827 1
Si2 Si 0.609 0.609 0.173 1
V1 V 0.500 0.500 0.500 1
# DOS(E_F) (states/eV/cell): 10.10
# Formation energy (no corrections) (eV/atom): -0.148
# Calculated density (g cm⁻³): 4.2
# Space group: No. 166

---

[6]
# PBE-GGA HoScGaPt, relaxed
data_HoScGaPt
_space_group_name_H-M_alt 'P 1'
_space_group_IT_number 1
_cell_length_a 3.603
_cell_length_b 4.386
_cell_length_c 5.591
_cell_angle_alpha 90.00
_cell_angle_beta 108.80
_cell_angle_gamma 90.00
loop_
_space_group_symop_operation_xyz
'x,y,z'
loop_
_atom_site_label
_atom_site_type_symbol
_atom_site_fract_x
_atom_site_fract_y
_atom_site_fract_z
_atom_site_occupancy
Pt1 Pt 0.580 0.500 0.160 1
Sc1 Sc 0.141 0.000 0.282 1
Ho1 Ho 0.853 0.500 0.706 1
Ga1 Ga 0.426 0.000 0.852 1
# DOS(E_F) (states/eV/cell): 3.20
# Calculated density (g cm⁻³): 9.4
# Energy of formation from the pure elements (eV/atom): -0.92
# Space group: No. 38

---

[7]
# PBE-GGA CaLa2Rh, relaxed
data_CaLa2Rh
_space_group_name_H-M_alt 'P 1'
_space_group_IT_number 1
_cell_length_a 5.164
_cell_length_b 5.162
_cell_length_c 4.213
_cell_angle_alpha 90.00
_cell_angle_beta 90.00
_cell_angle_gamma 90.00
loop_
_space_group_symop_operation_xyz
'x,y,z'
loop_
_atom_site_label
_atom_site_type_symbol
_atom_site_fract_x
_atom_site_fract_y
_atom_site_fract_z
_atom_site_occupancy
Ca1 Ca 0.000 0.500 0.500 1
La1 La 0.500 0.500 0.000 1
La2 La 0.000 0.000 0.000 1
Rh1 Rh 0.500 0.000 0.500 1
# DOS(E_F) (states/eV/cell): 5.43
# Calculated density (g cm⁻³): 6.2
# Energy of formation from the pure elements (eV/atom): -0.06
# Space group: No. 123

---

[8]
# PBE-GGA NdNpCl6, relaxed
data_NdNpCl6
_space_group_name_H-M_alt 'P 1'
_space_group_IT_number 1
_cell_length_a 6.811
_cell_length_b 6.811
_cell_length_c 12.969
_cell_angle_alpha 90.00
_cell_angle_beta 90.00
_cell_angle_gamma 120.00
loop_
_space_group_symop_operation_xyz
'x,y,z'
loop_
_atom_site_label
_atom_site_type_symbol
_atom_site_fract_x
_atom_site_fract_y
_atom_site_fract_z
_atom_site_occupancy
Cl1 Cl 0.015 0.338 0.123 1
Cl2 Cl 0.985 0.662 0.877 1
Cl3 Cl 0.338 0.323 0.877 1
Cl4 Cl 0.323 0.338 0.377 1
Cl5 Cl 0.677 0.015 0.877 1
Cl6 Cl 0.338 0.015 0.623 1
Cl7 Cl 0.662 0.677 0.123 1
Cl8 Cl 0.015 0.677 0.377 1
Cl9 Cl 0.985 0.323 0.623 1
Cl10 Cl 0.677 0.662 0.623 1
Cl11 Cl 0.662 0.985 0.377 1
Cl12 Cl 0.323 0.985 0.123 1
Np1 Np 0.667 0.333 0.750 1
Np2 Np 0.333 0.667 0.250 1
Nd1 Nd 0.000 0.000 0.000 1
Nd2 Nd 0.000 0.000 0.500 1
# DOS(E_F) (states/eV/cell): 9.83
# Formation energy (no corrections) (eV/atom): -1.957
# Calculated density (g cm⁻³): 3.8
# Space group: No. 163

---

[9]
# PBE-GGA PmBePt3, relaxed
data_PmBePt3
_space_group_name_H-M_alt 'P 1'
_space_group_IT_number 1
_cell_length_a 5.377
_cell_length_b 6.398
_cell_length_c 6.398
_cell_angle_alpha 69.48
_cell_angle_beta 65.15
_cell_angle_gamma 65.15
loop_
_space_group_symop_operation_xyz
'x,y,z'
loop_
_atom_site_label
_atom_site_type_symbol
_atom_site_fract_x
_atom_site_fract_y
_atom_site_fract_z
_atom_site_occupancy
Pm1 Pm 0.500 0.000 0.000 1
Pm2 Pm 0.500 0.500 0.500 1
Be1 Be 0.959 0.791 0.291 1
Be2 Be 0.041 0.209 0.709 1
Pt1 Pt 0.839 0.596 0.726 1
Pt2 Pt 0.839 0.226 0.096 1
Pt3 Pt 0.000 0.000 0.500 1
Pt4 Pt 0.161 0.774 0.904 1
Pt5 Pt 0.161 0.404 0.274 1
Pt6 Pt 0.500 0.000 0.500 1
# DOS(E_F) (states/eV/cell): 5.24
# Calculated density (g cm⁻³): 13.9
# Energy of formation from the pure elements (eV/atom): -0.81
# Space group: No. 74

---

[10]
# PBE-GGA YAg2Os, relaxed
data_YAg2Os
_space_group_name_H-M_alt 'P 1'
_space_group_IT_number 1
_cell_length_a 4.006
_cell_length_b 4.006
_cell_length_c 10.690
_cell_angle_alpha 79.20
_cell_angle_beta 79.20
_cell_angle_gamma 90.00
loop_
_space_group_symop_operation_xyz
'x,y,z'
loop_
_atom_site_label
_atom_site_type_symbol
_atom_site_fract_x
_atom_site_fract_y
_atom_site_fract_z
_atom_site_occupancy
Os1 Os 0.750 0.250 0.500 1
Os2 Os 0.000 0.000 0.000 1
Ag1 Ag 0.646 0.125 0.250 1
Ag2 Ag 0.375 0.354 0.750 1
Ag3 Ag 0.875 0.896 0.750 1
Ag4 Ag 0.104 0.625 0.250 1
Y1 Y 0.250 0.750 0.500 1
Y2 Y 0.500 0.500 0.000 1
# DOS(E_F) (states/eV/cell): 7.20
# Calculated density (g cm⁻³): 9.9
# Energy of formation from the pure elements (eV/atom): 0.46
# Space group: No. 122

---

[11]
# PBE-GGA YAlCr2, relaxed
data_YAlCr2
_space_group_name_H-M_alt 'P 1'
_space_group_IT_number 1
_cell_length_a 5.156
_cell_length_b 5.156
_cell_length_c 2.707
_cell_angle_alpha 90.00
_cell_angle_beta 90.00
_cell_angle_gamma 113.51
loop_
_space_group_symop_operation_xyz
'x,y,z'
loop_
_atom_site_label
_atom_site_type_symbol
_atom_site_fract_x
_atom_site_fract_y
_atom_site_fract_z
_atom_site_occupancy
Al1 Al 0.000 0.500 0.500 1
Cr1 Cr 0.000 0.000 0.000 1
Cr2 Cr 0.500 0.500 0.000 1
Y1 Y 0.500 0.000 0.500 1
# DOS(E_F) (states/eV/cell): 4.97
# Calculated density (g cm⁻³): 5.5
# Energy of formation from the pure elements (eV/atom): 0.67
# Space group: No. 65

---

[12]
# PBE-GGA Ba2CoSi, relaxed
data_Ba2CoSi
_space_group_name_H-M_alt 'P 1'
_space_group_IT_number 1
_cell_length_a 11.642
_cell_length_b 11.642
_cell_length_c 8.523
_cell_angle_alpha 46.93
_cell_angle_beta 46.93
_cell_angle_gamma 90.00
loop_
_space_group_symop_operation_xyz
'x,y,z'
loop_
_atom_site_label
_atom_site_type_symbol
_atom_site_fract_x
_atom_site_fract_y
_atom_site_fract_z
_atom_site_occupancy
Si1 Si 0.250 0.750 0.500 1
Si2 Si 0.500 0.500 0.000 1
Ba1 Ba 0.375 0.184 0.750 1
Ba2 Ba 0.934 0.625 0.250 1
Ba3 Ba 0.875 0.066 0.750 1
Ba4 Ba 0.816 0.125 0.250 1
Co1 Co 0.750 0.250 0.500 1
Co2 Co 0.000 0.000 0.000 1
# DOS(E_F) (states/eV/cell): 8.00
# Formation energy (no corrections) (eV/atom): -0.052
# Calculated density (g cm⁻³): 4.0
# Space group: No. 122

---

Uncorrected energy for every record listed, in sequence, given in eV per atom: -5.362, -5.183, -4.478, -5.399, -7.511, -5.912, -4.865, -5.556, -6.131, -5.387, -6.692, -4.146.